# LaCe2Sm3Te6

LaCe2Sm3Te6 after structural relaxation (PBE-GGA, the Alexandria database).

Values from the calculation:
SG: No. 12
Formation energy from raw total energies: -1.42 eV/atom
Volume: 31.8 Å³ per atom
Crystal system: monoclinic

Lattice parameters (Å, degrees): 7.749 7.749 7.798 99.53 99.53 120.09
Element x y z (fractional)
1 Ce 0.333 0.667 0.000
2 Sm 0.162 0.838 0.500
3 Te 0.746 0.746 0.253
4 Te 0.914 0.577 0.743
5 Sm 0.500 0.500 0.500
6 Te 0.577 0.914 0.743
7 Sm 0.838 0.162 0.500
8 Te 0.423 0.086 0.257
9 Ce 0.667 0.333 0.000
10 Te 0.086 0.423 0.257
11 Te 0.254 0.254 0.747
12 La 0.000 0.000 0.000

# PmGa3Ni2

PmGa3Ni2 after structural relaxation (PBE-GGA, the Alexandria database).

Values from the calculation:
SG: No. 63
Volume: 16.6 Å³ per atom
Formation energy: -3.4 eV per formula unit
Crystal system: orthorhombic

Lattice parameters (Å, degrees): 5.160 6.293 6.293 102.66 90.00 90.00
Element x y z (fractional)
1 Ga 0.750 0.056 0.056
2 Ni 0.000 0.208 0.792
3 Ga 0.250 0.904 0.532
4 Pm 0.750 0.661 0.661
5 Pm 0.250 0.339 0.339
6 Ni 0.500 0.208 0.792
7 Ga 0.250 0.532 0.904
8 Ga 0.750 0.096 0.468
9 Ni 0.500 0.792 0.208
10 Ni 0.000 0.792 0.208
11 Ga 0.750 0.468 0.096
12 Ga 0.250 0.944 0.944

# LiGeAsSe2

LiGeAsSe2 after structural relaxation (PBE-GGA, the Alexandria database).

Values from the calculation:
SG: No. 123
Formation energy from raw total energies: 0.36 eV/atom
Volume: 20.9 Å³ per atom
Crystal system: tetragonal
E above lowest polymorph: 0.147 eV/atom

Lattice parameters (Å, degrees): 4.890 4.890 4.360 90.00 90.00 90.00
Element x y z (fractional)
1 Se 0.000 0.500 0.000
2 Ge 0.500 0.500 0.500
3 As 0.000 0.000 0.500
4 Se 0.500 0.000 0.000
5 Li 0.000 0.000 0.000

# LaNdS

LaNdS after structural relaxation (PBE-GGA, the Alexandria database).

Values from the calculation:
SG: No. 156
Formation energy from raw total energies: -1.25 eV/atom
Volume: 31.1 Å³ per atom
Crystal system: trigonal
E above lowest polymorph: 0.020 eV/atom

Lattice parameters (Å, degrees): 6.623 4.033 4.033 120.00 90.00 90.00
Element x y z (fractional)
1 La 0.745 0.667 0.333
2 Nd 0.252 0.333 0.667
3 S 0.003 0.000 0.000

# LaTbY3

LaTbY3 after structural relaxation (PBE-GGA, the Alexandria database).

Values from the calculation:
SG: No. 2
Volume: 33.2 Å³ per atom
Formation energy: 0.3 eV per formula unit
Crystal system: triclinic
E above lowest polymorph: 0.000 eV/atom

Lattice parameters (Å, degrees): 3.542 9.640 12.375 108.33 106.61 111.61
Element x y z (fractional)
1 Y 0.794 0.945 0.848
2 Y 0.874 0.329 0.045
3 Y 0.918 0.856 0.562
4 Y 0.126 0.671 0.955
5 Tb 0.001 0.247 0.752
6 Y 0.082 0.144 0.438
7 Tb 0.999 0.753 0.248
8 La 0.179 0.533 0.647
9 Y 0.206 0.055 0.152
10 La 0.821 0.467 0.353

# La2HoSn3Pd4

La2HoSn3Pd4 after structural relaxation (PBE-GGA, the Alexandria database).

Values from the calculation:
SG: No. 115
Volume: 23.8 Å³ per atom
Formation energy: -8.5 eV per formula unit
Crystal system: tetragonal

Lattice parameters (Å, degrees): 4.638 4.638 11.064 90.00 90.00 90.00
Element x y z (fractional)
1 Sn 0.500 0.000 0.877
2 Sn 0.000 0.000 0.500
3 Pd 0.000 0.000 0.000
4 Pd 0.500 0.500 0.000
5 La 0.500 0.000 0.226
6 Pd 0.000 0.500 0.359
7 Sn 0.000 0.500 0.123
8 Pd 0.500 0.000 0.641
9 La 0.000 0.500 0.774
10 Ho 0.500 0.500 0.500

# YScMo2

YScMo2 after structural relaxation (PBE-GGA, the Alexandria database).

Values from the calculation:
SG: No. 123
Volume: 21.3 Å³ per atom
Formation energy: 1.1 eV per formula unit
Crystal system: tetragonal
E above lowest polymorph: 0.218 eV/atom

Lattice parameters (Å, degrees): 3.667 3.667 6.330 90.00 90.00 90.00
Element x y z (fractional)
1 Y 0.500 0.500 0.750
2 Sc 0.500 0.500 0.250
3 Mo 0.000 0.000 0.438
4 Mo 0.000 0.000 0.062

# Ca3MnH

Ca3MnH after structural relaxation (PBE-GGA, the Alexandria database).

Values from the calculation:
SG: No. 221
Volume: 22.7 Å³ per atom
Crystal system: cubic
E above lowest polymorph: 0.000 eV/atom

Lattice parameters (Å, degrees): 4.840 4.840 4.840 90.00 90.00 90.00
Element x y z (fractional)
1 Mn 0.500 0.500 0.500
2 Ca 0.000 0.000 0.500
3 Ca 0.000 0.500 0.000
4 Ca 0.500 0.000 0.000
5 H 0.000 0.000 0.000

# Co2NiHRh

Co2NiHRh after structural relaxation (PBE-GGA, the Alexandria database).

Values from the calculation:
SG: No. 123
Volume: 9.9 Å³ per atom
Crystal system: tetragonal
E above lowest polymorph: 0.008 eV/atom

Lattice parameters (Å, degrees): 3.684 3.684 3.652 90.00 90.00 90.00
Element x y z (fractional)
1 Co 0.000 0.500 0.000
2 H 0.000 0.000 0.000
3 Co 0.500 0.000 0.000
4 Ni 0.000 0.000 0.500
5 Rh 0.500 0.500 0.500

# CaGd2O4

CaGd2O4 after structural relaxation (PBE-GGA, the Alexandria database).

Values from the calculation:
SG: No. 63
Formation energy from raw total energies: -3.24 eV/atom
Volume: 15.0 Å³ per atom
Crystal system: orthorhombic
E above lowest polymorph: 0.034 eV/atom

Lattice parameters (Å, degrees): 5.868 5.868 11.095 90.00 90.00 146.62
Element x y z (fractional)
1 O 0.529 0.471 0.750
2 Gd 0.632 0.368 0.575
3 O 0.000 0.000 0.000
4 O 0.733 0.267 0.114
5 Gd 0.368 0.632 0.425
6 O 0.733 0.267 0.386
7 Ca 0.111 0.889 0.250
8 Gd 0.368 0.632 0.075
9 Ca 0.889 0.111 0.750
10 O 0.000 0.000 0.500
11 O 0.267 0.733 0.886
12 O 0.267 0.733 0.614
13 Gd 0.632 0.368 0.925
14 O 0.471 0.529 0.250

# KTl3Au

KTl3Au after structural relaxation (PBE-GGA, the Alexandria database).

Values from the calculation:
SG: No. 221
Volume: 47.9 Å³ per atom
Formation energy: 4.1 eV per formula unit
Crystal system: cubic
E above lowest polymorph: 0.945 eV/atom

Lattice parameters (Å, degrees): 6.211 6.211 6.211 90.00 90.00 90.00
Element x y z (fractional)
1 Tl 0.500 0.000 0.000
2 K 0.000 0.000 0.000
3 Tl 0.000 0.500 0.000
4 Tl 0.000 0.000 0.500
5 Au 0.500 0.500 0.500

# TlBi12Au4

TlBi12Au4 after structural relaxation (PBE-GGA, the Alexandria database).

Values from the calculation:
SG: No. 204
Volume: 31.8 Å³ per atom
Formation energy: -0.2 eV per formula unit
Crystal system: cubic

Lattice parameters (Å, degrees): 8.891 8.891 8.891 109.47 109.47 109.47
Element x y z (fractional)
1 Bi 0.501 0.156 0.345
2 Bi 0.844 0.655 0.499
3 Bi 0.499 0.844 0.655
4 Au 0.000 0.000 0.500
5 Bi 0.345 0.189 0.844
6 Au 0.500 0.500 0.500
7 Bi 0.345 0.501 0.156
8 Bi 0.811 0.156 0.655
9 Bi 0.189 0.844 0.345
10 Au 0.500 0.000 0.000
11 Bi 0.844 0.345 0.189
12 Tl 0.000 0.000 0.000
13 Bi 0.156 0.345 0.501
14 Bi 0.156 0.655 0.811
15 Bi 0.655 0.811 0.156
16 Au 0.000 0.500 0.000
17 Bi 0.655 0.499 0.844

The highest volume belongs to which entry?
KTl3Au

Among the records above, which one has the lowest volume?
Co2NiHRh

Which of these has the highest volume?
KTl3Au

Among the records above, which one has the lowest volume?
Co2NiHRh